Computed, not measured: crystalline NpBi2PtO8 at its relaxed geometry at the GGA-PBE level of DFT.

Cell lengths 5.172, 6.748, 5.175 Å; angles 90.00, 91.27, 90.00 degrees
Space group P2/m (No. 10)
Asymmetric unit:
Np: 0.000 0.000 0.000 [1 per cell]
Bi: 0.500 0.262 0.500 [2 per cell]
Pt: 0.000 0.500 0.000 [1 per cell]
O: 0.177 0.256 0.824 [4 per cell]
O: 0.273 0.000 0.275 [2 per cell]
O: 0.283 0.500 0.284 [2 per cell]

Computed properties:
- energy (eV per atom) = -7.007
- formation energy from raw total energies (meV per atom) = -1473


Computed, not measured: crystalline PuNpBiO6 at its relaxed geometry at the GGA-PBE level of DFT.

Cell lengths 5.8733, 5.8733, 9.5142 Å; angles 90.00, 90.00, 120.00 degrees
Space group P-31c (No. 163)
Asymmetric unit:
Pu: 0.3333 0.6667 0.2500 [2 per cell]
Np: 0.3333 0.6667 0.7500 [2 per cell]
Bi: 0.0000 0.0000 0.0000 [2 per cell]
O: 0.0128 0.3565 0.6364 [12 per cell]

Computed properties:
- energy (eV per atom) = -9.192
- formation energy from raw total energies (meV per atom) = -2425


Computed, not measured: crystalline RbNpBi2O8 at its relaxed geometry at the GGA-PBE level of DFT.

Cell lengths 5.256, 7.559, 5.269 Å; angles 90.00, 91.31, 90.00 degrees
Space group P2/m (No. 10)
Asymmetric unit:
Rb: 0.000 0.000 0.000 [1 per cell]
Np: 0.000 0.500 0.000 [1 per cell]
Bi: 0.500 0.267 0.500 [2 per cell]
O: 0.186 0.314 0.185 [4 per cell]
O: 0.293 0.500 0.706 [2 per cell]
O: 0.350 0.000 0.643 [2 per cell]

Computed properties:
- energy (eV per atom) = -6.677
- formation energy from raw total energies (meV per atom) = -1566


Computed, not measured: crystalline Rb3Np2BiO9 at its relaxed geometry at the GGA-PBE level of DFT.

Cell lengths 6.1872, 6.1872, 7.5963 Å; angles 90.00, 90.00, 120.00 degrees
Space group P-3m1 (No. 164)
Asymmetric unit:
Rb: 0.0000 0.0000 0.0000 [1 per cell]
Rb: 0.3333 0.6667 0.6611 [2 per cell]
Np: 0.3333 0.6667 0.1615 [2 per cell]
Bi: 0.0000 0.0000 0.5000 [1 per cell]
O: 0.0000 0.5000 0.0000 [3 per cell]
O: 0.1785 0.3570 0.3156 [6 per cell]

Computed properties:
- energy (eV per atom) = -7.454
- formation energy from raw total energies (meV per atom) = -2302


Computed, not measured: crystalline Rb2NpBiO6 at its relaxed geometry at the GGA-PBE level of DFT.

Cell lengths 6.235, 8.818, 6.236 Å; angles 90.00, 90.00, 90.00 degrees
Space group Pmmn (No. 59, origin choice 2)
Asymmetric unit:
Rb: 0.250 0.000 0.250 [4 per cell]
Np: 0.250 0.250 0.750 [2 per cell]
Bi: 0.250 0.750 0.750 [2 per cell]
O: 0.019 0.250 0.518 [4 per cell]
O: 0.019 0.250 0.981 [4 per cell]
O: 0.250 0.019 0.750 [4 per cell]

Computed properties:
- energy (eV per atom) = -6.919
- formation energy from raw total energies (meV per atom) = -2068


Computed, not measured: crystalline RbNpBiO6 at its relaxed geometry at the GGA-PBE level of DFT.

Cell lengths 5.533, 5.533, 10.531 Å; angles 90.00, 90.00, 90.00 degrees
Space group P4_2nm (No. 102)
Asymmetric unit:
Rb: 0.000 0.000 0.000 [2 per cell]
Np: 0.000 0.000 0.336 [2 per cell]
Bi: 0.000 0.000 0.666 [2 per cell]
O: 0.164 0.164 0.496 [4 per cell]
O: 0.217 0.217 0.225 [4 per cell]
O: 0.244 0.756 0.316 [4 per cell]

Computed properties:
- energy (eV per atom) = -7.053
- formation energy from raw total energies (meV per atom) = -1771


Computed, not measured: crystalline RbNpBiO5 at its relaxed geometry at the GGA-PBE level of DFT.

Cell lengths 7.905, 10.586, 8.312 Å; angles 90.00, 114.69, 90.00 degrees
Space group C2/c (No. 15)
Asymmetric unit:
Rb: 0.000 0.176 0.250 [4 per cell]
Np: 0.000 0.500 0.000 [4 per cell]
Bi: 0.000 0.193 0.750 [4 per cell]
O: 0.000 0.457 0.250 [4 per cell]
O: 0.090 0.318 0.583 [8 per cell]
O: 0.228 0.061 0.912 [8 per cell]

Computed properties:
- energy (eV per atom) = -7.426
- formation energy from raw total energies (meV per atom) = -2103


Computed, not measured: crystalline NpBiRh2O8 at its relaxed geometry at the GGA-PBE level of DFT.

Cell lengths 4.851, 6.699, 4.862 Å; angles 90.00, 90.47, 90.00 degrees
Space group P2/m (No. 10)
Asymmetric unit:
Np: 0.000 0.000 0.000 [1 per cell]
Bi: 0.000 0.500 0.000 [1 per cell]
Rh: 0.500 0.249 0.500 [2 per cell]
O: 0.208 0.226 0.204 [4 per cell]
O: 0.312 0.000 0.684 [2 per cell]
O: 0.327 0.500 0.667 [2 per cell]

Computed properties:
- energy (eV per atom) = -7.360
- formation energy from raw total energies (meV per atom) = -1427


Computed, not measured: crystalline NpBi2RhO6 at its relaxed geometry at the GGA-PBE level of DFT.

Cell lengths 10.721, 5.780, 4.875 Å; angles 90.00, 105.93, 90.00 degrees
Space group C2/m (No. 12)
Asymmetric unit:
Np: 0.000 0.000 0.000 [2 per cell]
Bi: 0.214 0.500 0.207 [4 per cell]
Rh: 0.000 0.500 0.500 [2 per cell]
O: 0.103 0.265 0.806 [8 per cell]
O: 0.163 0.000 0.310 [4 per cell]

Computed properties:
- energy (eV per atom) = -7.338
- formation energy from raw total energies (meV per atom) = -1557


Computed, not measured: crystalline NpBi2RhO8 at its relaxed geometry at the GGA-PBE level of DFT.

Cell lengths 5.164, 6.682, 5.167 Å; angles 90.00, 91.27, 90.00 degrees
Space group P2/m (No. 10)
Asymmetric unit:
Np: 0.000 0.000 0.000 [1 per cell]
Bi: 0.500 0.261 0.500 [2 per cell]
Rh: 0.000 0.500 0.000 [1 per cell]
O: 0.177 0.248 0.824 [4 per cell]
O: 0.277 0.500 0.278 [2 per cell]
O: 0.282 0.000 0.284 [2 per cell]

Computed properties:
- energy (eV per atom) = -7.162
- formation energy from raw total energies (meV per atom) = -1518


Computed, not measured: crystalline NpBiRuO6 at its relaxed geometry at the GGA-PBE level of DFT.

Cell lengths 5.2684, 5.2684, 10.6347 Å; angles 90.00, 90.00, 120.00 degrees
Space group P-31c (No. 163)
Asymmetric unit:
Np: 0.3333 0.6667 0.2500 [2 per cell]
Bi: 0.0000 0.0000 0.0000 [2 per cell]
Ru: 0.3333 0.6667 0.7500 [2 per cell]
O: 0.0076 0.3565 0.6392 [12 per cell]

Computed properties:
- energy (eV per atom) = -8.026
- formation energy from raw total energies (meV per atom) = -1820


Computed, not measured: crystalline NpBiS2O at its relaxed geometry at the GGA-PBE level of DFT.

Cell lengths 3.981, 3.981, 13.541 Å; angles 90.00, 90.00, 90.00 degrees
Space group P4/nmm (No. 129, origin choice 2)
Asymmetric unit:
Np: 0.250 0.250 0.089 [2 per cell]
Bi: 0.250 0.250 0.624 [2 per cell]
S: 0.250 0.250 0.386 [2 per cell]
S: 0.250 0.250 0.818 [2 per cell]
O: 0.250 0.750 0.000 [2 per cell]

Computed properties:
- energy (eV per atom) = -7.396
- formation energy from raw total energies (meV per atom) = -1389


Question: energy of number 5 (Rb2NpBiO6)?
Answer: -6.919 eV per atom


Question: Number 10 is which compound?
Answer: NpBi2RhO8


Question: energy of number 10 (NpBi2RhO8)?
Answer: -7.162 eV per atom